(1)
The following is a PBE-GGA calculation of crystalline InPIr2 at its relaxed geometry, from Alexandria via LeMat-Bulk.

Structure (POSCAR):
```
InPIr2
1.0
4.652 -0.007 0.000
0.893 4.565 0.000
-2.773 -2.279 2.959
In Ir P
1 2 1
Direct
0.750 0.250 0.500 In
0.000 0.000 0.000 Ir
0.500 0.500 0.000 Ir
0.250 0.750 0.500 P
```

## Properties
Density in g/cm3: 14.01
E above lowest polymorph in meV per atom: 355
Energy relative to the elements in eV/atom: 0.2255
Symmetry: I4/mmm, No. 139


(2)
The following is a PBE-GGA calculation of crystalline In2PIr at its relaxed geometry, from Alexandria via LeMat-Bulk.

Structure (POSCAR):
```
In2PIr
1.0
3.086 0.009 0.000
-0.014 3.086 0.000
0.000 0.000 7.880
In Ir P
2 1 1
Direct
0.000 0.000 0.021 In
0.000 0.000 0.479 In
0.500 0.500 0.250 Ir
0.500 0.500 0.750 P
```

## Properties
Density in g/cm3: 10.02
Energy relative to the elements in eV/atom: 0.2573
Symmetry: P4/mmm, No. 123


(3)
The following is a PBE-GGA calculation of crystalline InPIr2 at its relaxed geometry, from Alexandria via LeMat-Bulk.

Structure (POSCAR):
```
InPIr2
1.0
4.517 0.000 0.000
2.258 3.911 0.000
2.258 1.304 3.688
In Ir P
1 2 1
Direct
0.500 0.500 0.500 In
0.000 0.000 0.000 Ir
0.750 0.750 0.750 Ir
0.250 0.250 0.250 P
```

## Properties
Density in g/cm3: 13.51
E above lowest polymorph in meV per atom: 637
Energy relative to the elements in eV/atom: 0.5077
Symmetry: F-43m, No. 216


(4)
The following is a PBE-GGA calculation of crystalline InP2Ir at its relaxed geometry, from Alexandria via LeMat-Bulk.

Structure (POSCAR):
```
InP2Ir
1.0
-1.081 2.795 0.977
-1.664 -1.432 2.257
5.599 0.591 4.501
In Ir P
1 1 2
Direct
0.500 0.500 0.250 In
0.500 0.500 0.750 Ir
0.000 0.000 0.925 P
0.000 0.000 0.575 P
```

## Properties
Density in g/cm3: 8.56
Energy relative to the elements in eV/atom: 0.1308
Symmetry: P4/mmm, No. 123


Number 1: electronic total energy -6.2420 eV/atom. Number 2: electronic total energy -4.6796 eV/atom. Number 3: electronic total energy -5.9598 eV/atom. Number 4: electronic total energy -5.4740 eV/atom.